# Th3SiSe2, relaxed, DFT GGA-PBE
# energy relative to the elements, uncorrected = -1319 meV per atom
# energy = -7.094 eV per atom
data_Th3SiSe2
_chemical_formula_sum 'Th6 Si2 Se4'
_cell_length_a 4.2753
_cell_length_b 5.9711
_cell_length_c 12.5992
_cell_angle_alpha 90.00
_cell_angle_beta 90.00
_cell_angle_gamma 90.00
_space_group_name_H-M_alt 'I m m m'
_space_group_IT_number 71
_space_group_name_Hall '-I 2 2'
loop_
_atom_site_label
_atom_site_type_symbol
_atom_site_fract_x
_atom_site_fract_y
_atom_site_fract_z
_atom_site_occupancy
Th1 Th 0.0000 0.0000 0.0000 1
Th2 Th 0.0000 0.0000 0.3416 1
Si1 Si 0.0000 0.5000 0.0000 1
Se1 Se 0.0000 0.5000 0.3317 1